The following is a PBE-GGA calculation of Ac2Zn2I after structural relaxation, from Alexandria.

abc: 9.1768 9.1768 9.1768
angles: 28.72 28.72 28.72
Closest atoms and distances in Å follow each position.
Fractional positions:
Ac1 0.0754 0.0754 0.0754  6 Zn 3.26-3.33, 3 I 3.56
Ac2 0.9246 0.9246 0.9246  6 Zn 3.26-3.33, 3 I 3.56
Zn1 0.3313 0.3313 0.3313  3 Zn 2.63
Zn2 0.6687 0.6687 0.6687  3 Zn 2.63
I1 0.5000 0.5000 0.5000  6 Ac 3.56

Summary:
* calculated total energy: -3.090 eV/atom
* Fermi-level density of states: 1.00 states/eV per atom
* ΔE_f (raw): -0.6267 eV/atom